(1)
A relaxed ThIn crystal. Source: Alexandria via LeMat-Bulk, functional PBE.

a b c (Å): 3.515 3.515 4.636
angles (deg): 90.00 90.00 90.00
Fractional coordinates of all 2 atoms:
Th 0.000 0.000 0.000
In 0.500 0.500 0.500

Properties
Its space-group type is P4/mmm. The value obtained for the formation enthalpy at 0 K is -289 meV/atom.

=====

(2)
A relaxed CaAl4Pd crystal. Source: Alexandria via LeMat-Bulk, functional PBE.

a b c (Å): 6.196 6.196 8.058
angles (deg): 112.43 112.43 90.06
Fractional coordinates of all 12 atoms:
Ca 0.000 0.500 0.000
Ca 0.500 0.000 0.000
Al 0.016 0.016 0.336
Al 0.179 0.484 0.664
Al 0.321 0.321 0.336
Al 0.484 0.179 0.664
Al 0.516 0.821 0.336
Al 0.679 0.679 0.664
Al 0.821 0.516 0.336
Al 0.984 0.984 0.664
Pd 0.250 0.750 0.500
Pd 0.750 0.250 0.500

Properties
Its space-group type is C2/m. The value obtained for the formation enthalpy at 0 K is -268 meV/atom.

=====

(3)
A relaxed RbCrFe2Br8 crystal. Source: Alexandria via LeMat-Bulk, functional PBE.

a b c (Å): 6.603 6.603 9.905
angles (deg): 95.25 95.25 68.59
Fractional coordinates of all 12 atoms:
Rb 0.000 0.000 0.000
Cr 0.000 0.000 0.500
Fe 0.377 0.377 0.701
Fe 0.623 0.623 0.299
Br 0.224 0.737 0.311
Br 0.231 0.231 0.496
Br 0.263 0.776 0.689
Br 0.314 0.314 0.921
Br 0.686 0.686 0.079
Br 0.737 0.224 0.311
Br 0.769 0.769 0.504
Br 0.776 0.263 0.689

Properties
The value obtained for the uncorrected formation energy is -816 kJ/mol of formula units. Its space-group type is C2/m.